Record 1
{
  "formula": "Li2TaAg",
  "functional": "GGA-PBE",
  "state": "relaxed",
  "lattice_angstrom": [[1.427, 0.824, 9.564], [-1.427, 0.824, 9.564], [0.000, -1.648, 9.564]],
  "species": ["Li", "Li", "Ta", "Ag"],
  "fractional_positions": [[0.246, 0.246, 0.246], [0.754, 0.754, 0.754], [0.000, 0.000, 0.000], [0.500, 0.500, 0.500]],
  "magnetic_moment_mub_per_cell": 0.00,
  "e_above_lowest_polymorph_mev_per_atom": 2
}

Record 2
{
  "formula": "Rb6Au2SeO",
  "functional": "GGA-PBE",
  "state": "relaxed",
  "lattice_angstrom": [[8.209, 0.000, 0.000], [0.000, 8.631, 0.000], [-8.170, 0.000, 11.728]],
  "species": ["Rb", "Rb", "Rb", "Rb", "Rb", "Rb", "Rb", "Rb", "Rb", "Rb", "Rb", "Rb", "Au", "Au", "Au", "Au", "Se", "Se", "O", "O"],
  "fractional_positions": [[0.119, 0.041, 0.226], [0.119, 0.459, 0.726], [0.233, 0.721, 0.060], [0.233, 0.779, 0.560], [0.329, 0.177, 0.050], [0.329, 0.323, 0.550], [0.671, 0.677, 0.450], [0.671, 0.823, 0.950], [0.767, 0.221, 0.440], [0.767, 0.279, 0.940], [0.881, 0.541, 0.274], [0.881, 0.959, 0.774], [0.275, 0.069, 0.752], [0.275, 0.431, 0.252], [0.725, 0.569, 0.748], [0.725, 0.931, 0.248], [0.500, 0.000, 0.500], [0.500, 0.500, 0.000], [0.000, 0.000, 0.000], [0.000, 0.500, 0.500]],
  "magnetic_moment_mub_per_cell": 0.28,
  "e_form_raw_ev_per_atom": -0.684
}

Record 3
{
  "formula": "TlAsPBr2",
  "functional": "GGA-PBE",
  "state": "relaxed",
  "lattice_angstrom": [[5.611, 0.000, 0.000], [0.000, 5.611, 0.000], [0.000, 0.000, 5.663]],
  "species": ["Tl", "As", "P", "Br", "Br"],
  "fractional_positions": [[0.000, 0.000, 0.000], [0.000, 0.000, 0.500], [0.500, 0.500, 0.500], [0.000, 0.500, 0.000], [0.500, 0.000, 0.000]],
  "magnetic_moment_mub_per_cell": 0.85,
  "e_form_raw_ev_per_atom": 0.803,
  "e_above_lowest_polymorph_mev_per_atom": 734
}

Record 4
{
  "formula": "CeY3Th2As6",
  "functional": "GGA-PBE",
  "state": "relaxed",
  "lattice_angstrom": [[9.115, -2.098, 0.000], [9.115, 2.098, 0.000], [-1.870, 0.000, 8.139]],
  "species": ["Ce", "Y", "Y", "Y", "Th", "Th", "As", "As", "As", "As", "As", "As"],
  "fractional_positions": [[0.000, 0.000, 0.000], [0.000, 0.000, 0.500], [0.334, 0.334, 0.167], [0.666, 0.666, 0.833], [0.334, 0.334, 0.668], [0.666, 0.666, 0.332], [0.165, 0.165, 0.587], [0.168, 0.168, 0.079], [0.499, 0.499, 0.253], [0.501, 0.501, 0.747], [0.832, 0.832, 0.921], [0.835, 0.835, 0.413]],
  "e_tot_ev_per_atom": -7.1631,
  "magnetic_moment_mub_per_cell": 0.79
}

Record 5
{
  "formula": "ZrP2C",
  "functional": "GGA-PBE",
  "state": "relaxed",
  "lattice_angstrom": [[-2.874, 2.874, 3.595], [2.874, -2.874, 3.595], [2.874, 2.874, -3.595]],
  "species": ["Zr", "Zr", "P", "P", "P", "P", "C", "C"],
  "fractional_positions": [[0.000, 0.000, 0.000], [0.750, 0.250, 0.500], [0.230, 0.125, 0.605], [0.375, 0.770, 0.895], [0.520, 0.625, 0.395], [0.875, 0.480, 0.105], [0.250, 0.750, 0.500], [0.500, 0.500, 0.000]],
  "e_tot_ev_per_atom": -7.0975,
  "magnetic_moment_mub_per_cell": 0.00
}

Record 6
{
  "formula": "Tl2Sn2Br",
  "functional": "GGA-PBE",
  "state": "relaxed",
  "lattice_angstrom": [[8.913, 0.000, 0.000], [0.000, 8.913, 0.000], [0.000, 0.000, 4.057]],
  "species": ["Tl", "Tl", "Tl", "Tl", "Sn", "Sn", "Sn", "Sn", "Br", "Br"],
  "fractional_positions": [[0.188, 0.312, 0.000], [0.312, 0.812, 0.000], [0.688, 0.188, 0.000], [0.812, 0.688, 0.000], [0.115, 0.615, 0.500], [0.385, 0.115, 0.500], [0.615, 0.885, 0.500], [0.885, 0.385, 0.500], [0.000, 0.000, 0.000], [0.500, 0.500, 0.000]],
  "magnetic_moment_mub_per_cell": 0.00,
  "e_form_raw_ev_per_atom": -0.036,
  "e_above_lowest_polymorph_mev_per_atom": 25
}

Record 7
{
  "formula": "Np3NbS2O6",
  "functional": "GGA-PBE",
  "state": "relaxed",
  "lattice_angstrom": [[5.889, -3.342, 0.000], [5.889, 3.342, 0.000], [-0.900, 0.000, 5.243]],
  "species": ["Np", "Np", "Np", "Nb", "S", "S", "O", "O", "O", "O", "O", "O"],
  "fractional_positions": [[0.000, 0.000, 0.000], [0.000, 0.500, 0.500], [0.500, 0.000, 0.500], [0.500, 0.500, 0.500], [0.198, 0.198, 0.845], [0.802, 0.802, 0.155], [0.198, 0.673, 0.705], [0.327, 0.802, 0.295], [0.333, 0.333, 0.330], [0.667, 0.667, 0.670], [0.673, 0.198, 0.705], [0.802, 0.327, 0.295]],
  "magnetic_moment_mub_per_cell": 10.00,
  "e_form_raw_ev_per_atom": -2.217
}

Record 8
{
  "formula": "Pm2SmDy3Se6",
  "functional": "GGA-PBE",
  "state": "relaxed",
  "lattice_angstrom": [[3.549, -6.185, 0.000], [3.549, 6.185, 0.000], [-2.381, 0.000, 6.814]],
  "species": ["Pm", "Pm", "Sm", "Dy", "Dy", "Dy", "Se", "Se", "Se", "Se", "Se", "Se"],
  "fractional_positions": [[0.167, 0.833, 0.000], [0.833, 0.167, 0.000], [0.500, 0.500, 0.000], [0.000, 0.000, 0.500], [0.332, 0.668, 0.500], [0.668, 0.332, 0.500], [0.081, 0.413, 0.740], [0.255, 0.255, 0.261], [0.413, 0.081, 0.740], [0.587, 0.919, 0.260], [0.745, 0.745, 0.739], [0.919, 0.587, 0.260]],
  "magnetic_moment_mub_per_cell": 0.00,
  "e_form_raw_ev_per_atom": -1.794
}

Record 9
{
  "formula": "CaCe2Bi3",
  "functional": "GGA-PBE",
  "state": "relaxed",
  "lattice_angstrom": [[-2.311, 3.245, 6.905], [2.311, -3.245, 6.905], [2.311, 3.245, -6.905]],
  "species": ["Ca", "Ce", "Ce", "Bi", "Bi", "Bi"],
  "fractional_positions": [[0.000, 0.000, 0.000], [0.335, 0.335, 0.000], [0.665, 0.665, 0.000], [0.172, 0.672, 0.500], [0.500, 0.000, 0.500], [0.828, 0.328, 0.500]],
  "magnetic_moment_mub_per_cell": 1.03,
  "e_above_lowest_polymorph_mev_per_atom": 0
}

Which formula does entry 6 have? Tl2Sn2Br

Copy entry 3 word for word.
{
  "formula": "TlAsPBr2",
  "functional": "GGA-PBE",
  "state": "relaxed",
  "lattice_angstrom": [[5.611, 0.000, 0.000], [0.000, 5.611, 0.000], [0.000, 0.000, 5.663]],
  "species": ["Tl", "As", "P", "Br", "Br"],
  "fractional_positions": [[0.000, 0.000, 0.000], [0.000, 0.000, 0.500], [0.500, 0.500, 0.500], [0.000, 0.500, 0.000], [0.500, 0.000, 0.000]],
  "magnetic_moment_mub_per_cell": 0.85,
  "e_form_raw_ev_per_atom": 0.803,
  "e_above_lowest_polymorph_mev_per_atom": 734
}